1.
This record from Alexandria via LeMat-Bulk describes a relaxed SrTi2GaPd crystal. The functional is PBE.

abc: 5.0168 5.0168 4.8668
angles: 90.00 90.00 90.00
Last column: nearest neighbours and their distance in Å.
Space group P4/mmm (No. 123)
Symmetry-distinct sites (fractional):
Sr: 0.0000 0.0000 0.0000 (multiplicity 1)  8 Ti 3.49, 4 Ga 3.55
Ti: 0.0000 0.5000 0.5000 (multiplicity 2)  2 Pd 2.51
Ga: 0.5000 0.5000 0.0000 (multiplicity 1)  2 Pd 2.43
Pd: 0.5000 0.5000 0.5000 (multiplicity 1)  2 Ga 2.43, 4 Ti 2.51

Values from the calculation:
**Total energy**: -4.918 eV/atom
**Calculated density**: 4.9 g/cm3
**Total magnetization**: 3.3 Bohr magnetons per cell
**Formation energy**: 1.10 eV per formula unit

2.
This record from Alexandria via LeMat-Bulk describes a relaxed CsYCl3 crystal. The functional is PBE.

abc: 6.2228 18.1864 6.8151
angles: 90.00 90.00 90.00
Last column: nearest neighbours and their distance in Å.
Space group Cmcm (No. 63)
Symmetry-distinct sites (fractional):
Cs: 0.0000 0.1650 0.2500 (multiplicity 4)  8 Cl 3.45-3.74
Y: 0.0000 0.4456 0.2500 (multiplicity 4)  2 Cl 2.50
Cl: 0.0000 0.0000 0.0000 (multiplicity 4)  6 Cl 3.41-3.71, 2 Cs 3.45, 4 Y 3.68
Cl: 0.2461 0.1608 0.7500 (multiplicity 8)  1 Y 2.50

Values from the calculation:
**Total energy**: -4.122 eV/atom
**Calculated density**: 2.8 g/cm3
**Total magnetization**: 0.0 Bohr magnetons per cell

3.
This record from Alexandria via LeMat-Bulk describes a relaxed Sn2Pt2Rh crystal. The functional is PBE.

abc: 6.9907 4.0428 7.3951
angles: 90.00 108.46 90.00
Last column: nearest neighbours and their distance in Å.
Space group C2/m (No. 12)
Symmetry-distinct sites (fractional):
Sn: 0.0973 0.0000 0.2935 (multiplicity 4)  3 Pt 2.69, 3 Rh 2.74-2.75
Pt: 0.1329 0.5000 0.8975 (multiplicity 4)  3 Sn 2.69, 3 Pt 2.74, 1 Rh 2.79
Rh: 0.0000 0.5000 0.5000 (multiplicity 2)  6 Sn 2.74-2.75, 2 Pt 2.79

Values from the calculation:
**Total energy**: -5.824 eV/atom
**Calculated density**: 12.2 g/cm3
**Total magnetization**: 0.0 Bohr magnetons per cell
**Formation energy**: -1.68 eV per formula unit

4.
This record from Alexandria via LeMat-Bulk describes a relaxed Pm9Dy2Tm crystal. The functional is PBE.

abc: 5.1158 5.1158 15.3462
angles: 90.00 90.00 90.00
Last column: nearest neighbours and their distance in Å.
Space group P4/mmm (No. 123)
Symmetry-distinct sites (fractional):
Pm: 0.0000 0.0000 0.0000 (multiplicity 1)  8 Pm 3.61, 4 Tm 3.62
Pm: 0.0000 0.0000 0.3329 (multiplicity 2)  4 Dy 3.62, 8 Pm 3.62
Pm: 0.0000 0.5000 0.1659 (multiplicity 4)  2 Tm 3.61, 8 Pm 3.61-3.62, 2 Dy 3.62
Pm: 0.0000 0.5000 0.5000 (multiplicity 2)  8 Pm 3.62, 4 Dy 3.62
Dy: 0.5000 0.5000 0.3328 (multiplicity 2)  12 Pm 3.62
Tm: 0.5000 0.5000 0.0000 (multiplicity 1)  12 Pm 3.61-3.62

Values from the calculation:
**Total energy**: -4.686 eV/atom
**Calculated density**: 7.4 g/cm3
**Total magnetization**: 0.0 Bohr magnetons per cell
**Formation energy**: 0.20 eV per formula unit

Repeat the first record exactly.
This record from Alexandria via LeMat-Bulk describes a relaxed SrTi2GaPd crystal. The functional is PBE.

abc: 5.0168 5.0168 4.8668
angles: 90.00 90.00 90.00
Last column: nearest neighbours and their distance in Å.
Space group P4/mmm (No. 123)
Symmetry-distinct sites (fractional):
Sr: 0.0000 0.0000 0.0000 (multiplicity 1)  8 Ti 3.49, 4 Ga 3.55
Ti: 0.0000 0.5000 0.5000 (multiplicity 2)  2 Pd 2.51
Ga: 0.5000 0.5000 0.0000 (multiplicity 1)  2 Pd 2.43
Pd: 0.5000 0.5000 0.5000 (multiplicity 1)  2 Ga 2.43, 4 Ti 2.51

Values from the calculation:
**Total energy**: -4.918 eV/atom
**Calculated density**: 4.9 g/cm3
**Total magnetization**: 3.3 Bohr magnetons per cell
**Formation energy**: 1.10 eV per formula unit

Among the records above, which one has the lowest total energy? Sn2Pt2Rh

Which of these has the lowest calculated density? CsYCl3

Which value of total energy does entry 4 give? -4.686 eV/atom